## Ac4PSeBr2 (GGA-PBE)

Data for a geometry-optimized Ac4PSeBr2 structure.

Results
Raw total energy = -40.45 eV per formula unit

a = 4.4731 Å, b = 7.8024 Å, c = 7.8121 Å
α = 109.12°, β = 90.00°, γ = 90.00°
Closest atoms and distances in Å follow each position.
Atoms (fractional coordinates):
Ac: 0.5000 0.2282 0.2168  2 P 3.01, 1 Se 3.12, 3 Br 3.26-3.36
Ac: 0.5000 0.7718 0.7832  2 P 3.01, 1 Se 3.12, 3 Br 3.26-3.36
Ac: 0.0000 0.2474 0.7778  1 P 2.99, 2 Se 3.11, 2 Br 3.27
Ac: 0.0000 0.7526 0.2222  1 P 2.99, 2 Se 3.11, 2 Br 3.27
P: 0.0000 0.0000 0.0000  6 Ac 2.99-3.01
Se: 0.5000 0.5000 0.0000  6 Ac 3.11-3.12
Br: 0.5000 0.0000 0.5000  6 Ac 3.26-3.27
Br: 0.0000 0.5000 0.5000  6 Ac 3.36-3.38